Material: Na2Cu2IrO6
Method: DFT, PBE
State: relaxed

The calculation puts the magnetic moment at 0.0 Bohr magnetons per cell. The value obtained for the uncorrected formation energy is -840 meV per atom.

The structure belongs to space group R-3m (No. 166, hexagonal axes); the cell edges are 5.7789, 5.7789 and 15.5354 Å and the angles 90.00°, 90.00° and 120.00°. The inequivalent atoms are Na at (0.0000, 0.0000, 0.2007), Cu at (0.0000, 0.0000, 0.4015), Ir at (0.0000, 0.0000, 0.0000) and O at (0.0290, 0.5145, 0.7434).